ZrSnAs3 | PBE | optimized geometry

The space group is Pm-3m (No. 221) and the conventional cell measures 5.1982, 5.1982 and 5.1982 Å, with angles of 90.00, 90.00 and 90.00 degrees. Symmetry generates all atoms from Zr at (0.0000, 0.0000, 0.0000), Sn at (0.5000, 0.5000, 0.5000) and As at (0.0000, 0.0000, 0.5000).

The total energy is -5.1481 eV/atom. For the energy relative to the elements, the calculation gives 0.1518 eV per atom.